(1)
## CdFe2P (PBEsol)

Data for a geometry-optimized CdFe2P structure.

POSCAR file:
```
CdFe2P
1.0
-1.150 1.493 -2.069
-0.531 -1.207 -2.468
-8.176 -2.048 1.174
Fe P Cd
2 1 1
Cartesian
-7.892 -1.968 1.073
-7.323 -1.302 -2.547
-5.365 -1.004 -1.528
-2.380 -0.417 -0.870
```

Summary:
SG ... R3m, No. 160
Calculated formation energy ... 0.17 eV/atom
Crystal system ... trigonal

---

(2)
## TlReBr (PBEsol)

Data for a geometry-optimized TlReBr structure.

POSCAR file:
```
TlReBr
1.0
3.024 0.000 0.000
0.000 4.674 0.000
0.000 -2.337 4.048
Br Re Tl
1 1 1
Cartesian
0.000 0.000 0.000
0.000 0.000 2.698
1.512 2.337 1.349
```

Summary:
SG ... P-6m2, No. 187
ΔE to the lowest computed polymorph ... 0.92 eV per formula unit
Crystal system ... hexagonal

---

(3)
## KHgIr (PBEsol)

Data for a geometry-optimized KHgIr structure.

POSCAR file:
```
KHgIr
1.0
3.647 0.000 0.000
0.000 3.647 0.000
-1.824 -1.824 5.768
Ir Hg K
1 1 1
Cartesian
1.824 1.824 1.245
0.000 0.000 0.683
0.000 0.000 3.840
```

Summary:
SG ... I4mm, No. 107
Calculated formation energy ... 0.55 eV/atom
ΔE to the lowest computed polymorph ... 0.00 eV per formula unit
Crystal system ... tetragonal

---

(4)
## Sc3Pb (PBEsol)

Data for a geometry-optimized Sc3Pb structure.

POSCAR file:
```
Sc3Pb
1.0
5.773 0.000 0.000
0.000 6.094 0.000
0.000 0.000 15.445
Pb Sc
6 18
Cartesian
3.239 0.000 7.722
0.800 0.000 2.565
0.800 0.000 12.879
4.972 3.047 5.157
4.972 3.047 10.288
2.534 3.047 0.000
2.413 0.000 0.000
3.360 3.047 7.722
5.296 1.492 0.000
4.960 0.000 10.256
2.070 4.570 10.304
4.960 0.000 5.188
3.703 4.572 2.582
2.070 4.570 5.141
0.476 4.539 7.722
3.703 1.522 2.582
3.703 4.572 12.863
2.070 1.525 10.304
0.476 1.555 7.722
3.703 1.522 12.863
0.813 3.047 12.911
0.813 3.047 2.534
2.070 1.525 5.141
5.296 4.602 0.000
```

Summary:
SG ... Pmmn, No. 59
Calculated formation energy ... -0.32 eV/atom
Crystal system ... orthorhombic